VASP calculation (GGA-PBE) on a relaxed structure of Sr2YCd12Au3.

Output
Calculated total energy = -1.72 eV/atom
Energy of formation from the pure elements = -0.019 eV/atom
Size of the total moment = 0.0000 μB per atom
SG = No. 166

Cell lengths 10.144, 10.144, 10.144 Å; angles 48.58, 48.58, 48.58 degrees
Element x y z (fractional)
Cd  0.154  0.766  0.766
Y  0.000  0.000  0.000
Cd  0.155  0.516  0.155
Cd  0.155  0.155  0.516
Cd  0.484  0.845  0.845
Sr  0.618  0.618  0.618
Cd  0.766  0.154  0.766
Cd  0.516  0.155  0.155
Cd  0.234  0.846  0.234
Cd  0.846  0.234  0.234
Cd  0.234  0.234  0.846
Au  0.500  0.000  0.000
Cd  0.766  0.766  0.154
Cd  0.845  0.484  0.845
Sr  0.382  0.382  0.382
Au  0.000  0.000  0.500
Au  0.000  0.500  0.000
Cd  0.845  0.845  0.484